Tb2TmSc8 after structural relaxation. Source: Alexandria, functional PBE-GGA.

a = 9.028 Å, b = 9.028 Å, c = 5.494 Å
α = 107.16°, β = 107.16°, γ = 122.74°
Fractional coordinates of all 11 atoms:
Tb (0.191, 0.809, 0.000)
Tb (0.809, 0.191, 0.000)
Tm (0.500, 0.500, 0.500)
Sc (0.027, 0.027, 0.267)
Sc (0.153, 0.404, 0.789)
Sc (0.298, 0.702, 0.500)
Sc (0.404, 0.153, 0.789)
Sc (0.596, 0.847, 0.211)
Sc (0.702, 0.298, 0.500)
Sc (0.847, 0.596, 0.211)
Sc (0.973, 0.973, 0.733)

Values from the calculation:
The value obtained for the mass density is 4736 kg/m3. The calculation puts the energy relative to the elements at 0.146 eV/atom. Its crystal system is monoclinic.